(1)
The following is a PBE calculation of a relaxed structure of Pm5Se2O12, from Alexandria via LeMat-Bulk.

Structure (CIF):
```
data_Pm5Se2O12
_cell_length_a 12.718
_cell_length_b 6.070
_cell_length_c 7.548
_cell_angle_alpha 90.00
_cell_angle_beta 107.32
_cell_angle_gamma 90.00
_symmetry_space_group_name_H-M 'C 1 2/m 1'
_symmetry_Int_Tables_number 12
_symmetry_space_group_name_Hall '-C 2y'
loop_
_atom_site_label
_atom_site_type_symbol
_atom_site_fract_x
_atom_site_fract_y
_atom_site_fract_z
Pm1 Pm 0.000 0.000 0.000
Pm2 Pm 0.194 0.500 0.332
Pm3 Pm 0.197 0.500 0.860
Se1 Se 0.000 0.243 0.500
O1 O 0.001 0.000 0.677
O2 O 0.001 0.500 0.311
O3 O 0.154 0.249 0.076
O4 O 0.161 0.262 0.579
```

Output
M_tot: 0.0000 μB/atom
raw formation energy: -2.454 eV per atom



(2)
The following is a PBE calculation of a relaxed structure of La2TbIr2, from Alexandria via LeMat-Bulk.

Structure (CIF):
```
data_La2TbIr2
_cell_length_a 4.692
_cell_length_b 14.612
_cell_length_c 7.746
_cell_angle_alpha 90.00
_cell_angle_beta 90.00
_cell_angle_gamma 90.00
_symmetry_space_group_name_H-M 'C m c 21'
_symmetry_Int_Tables_number 36
_symmetry_space_group_name_Hall 'C 2c -2'
loop_
_atom_site_label
_atom_site_type_symbol
_atom_site_fract_x
_atom_site_fract_y
_atom_site_fract_z
La1 La 0.000 0.068 0.000
La2 La 0.000 0.225 0.634
Tb1 Tb 0.000 0.419 0.901
Ir1 Ir 0.000 0.178 0.293
Ir2 Ir 0.000 0.380 0.286
```

Output
M_tot: 0.0000 μB/atom
DFT formation energy: -606 meV/atom